DFT (SCAN) results for a PBEsol-optimized structure of BaTaZn.

Lattice parameters (Å, degrees): 5.0608 5.0608 3.1025 90.00 90.00 120.00
Closest atoms and distances in Å follow each position.
Space group P-6m2 (No. 187)
One atom of each set of equivalent atoms:
Ba  0.0000  0.0000  0.0000 [1 per cell]  2 Ba 3.10, 6 Zn 3.31, 6 Ta 3.31
Ta  0.3333  0.6667  0.5000 [1 per cell]  3 Zn 2.92, 2 Ta 3.10
Zn  0.6667  0.3333  0.5000 [1 per cell]  3 Ta 2.92, 2 Zn 3.10

Summary:
- energy of formation from the pure elements (kJ per mole of atoms) = 95.4
- N(E_F) (states/eV per atom) = 0.833
- total moment (μB per formula unit) = 0.000
- volume (Å³ per atom) = 22.938



DFT (SCAN) results for a PBEsol-optimized structure of InTcAgPt2.

Lattice parameters (Å, degrees): 4.8609 4.8609 4.9148 90.00 90.00 90.00
Closest atoms and distances in Å follow each position.
Space group P4/mmm (No. 123)
One atom of each set of equivalent atoms:
In  0.0000  0.0000  0.0000 [1 per cell]  4 Pt 2.43, 2 Tc 2.46
Tc  0.0000  0.0000  0.5000 [1 per cell]  2 In 2.46
Ag  0.5000  0.5000  0.5000 [1 per cell]  4 Tc 3.44, 8 Pt 3.46
Pt  0.0000  0.5000  0.0000 [2 per cell]  2 In 2.43

Summary:
- energy of formation from the pure elements (kJ per mole of atoms) = 149.3
- N(E_F) (states/eV per atom) = 0.710
- total moment (μB per formula unit) = 3.470
- volume (Å³ per atom) = 23.226



DFT (SCAN) results for a PBEsol-optimized structure of LiSmAu2.

Lattice parameters (Å, degrees): 6.8623 6.8623 6.8623 90.00 90.00 90.00
Closest atoms and distances in Å follow each position.
Space group Fm-3m (No. 225)
One atom of each set of equivalent atoms:
Li  0.0000  0.0000  0.0000 [4 per cell]  8 Au 2.97
Sm  0.0000  0.0000  0.5000 [4 per cell]  8 Au 2.97
Au  0.2500  0.2500  0.2500 [8 per cell]  4 Li 2.97, 4 Sm 2.97

Summary:
- energy of formation from the pure elements (kJ per mole of atoms) = -81.0
- N(E_F) (states/eV per atom) = 0.549
- total moment (μB per formula unit) = 0.000
- volume (Å³ per atom) = 20.197